Below is BaCdAg2 after structural relaxation, with properties calculated at the PBEsol level.

Computed properties:
Space-group type: R-3m, No. 166
Total magnetization in μB/f.u.: 0.000
E_form in eV per atom: -0.218
Density in g/cm3: 7.137
Volume in Å³/f.u.: 108

a b c (Å): 4.791 4.791 6.110
angles (deg): 66.92 66.92 60.00
Fractional coordinates of all 4 atoms:
Ba1 0.500 0.500 0.500
Ag1 0.699 0.699 0.902
Ag2 0.301 0.301 0.098
Cd1 0.000 0.000 0.000